(1)
AlFe8Co2 (PBE, optimized geometry); final energy = -0.2890 hartree per atom; space-group type = C2/m, No. 12; ΔE_f = -0.078 eV per atom; magnetic moment = 2.04 μB per atom
1.0
7.280 -1.432 0.000
7.280 1.432 0.000
-1.697 0.000 6.163
Al Fe Co
1 8 2
direct
0.000 0.000 0.000
0.090 0.090 0.449
0.181 0.181 0.908
0.358 0.358 0.813
0.453 0.453 0.280
0.547 0.547 0.720
0.642 0.642 0.187
0.819 0.819 0.092
0.910 0.910 0.551
0.274 0.274 0.365
0.726 0.726 0.635

(2)
Al2Fe2Co3 (PBE, optimized geometry); final energy = -0.2473 hartree per atom; space-group type = Cmmm, No. 65; ΔE_f = -0.198 eV per atom; magnetic moment = 1.04 μB per atom
1.0
1.378 -10.927 0.000
1.378 10.927 0.000
0.000 0.000 2.780
Al Fe Co
2 2 3
direct
0.068 0.932 0.000
0.932 0.068 0.000
0.204 0.796 0.000
0.796 0.204 0.000
0.363 0.637 0.500
0.500 0.500 0.500
0.637 0.363 0.500

(3)
AlFeCo2 (PBE, optimized geometry); final energy = -0.2487 hartree per atom; space-group type = Pm, No. 6; ΔE_f = -0.164 eV per atom; magnetic moment = 1.28 μB per atom
1.0
2.553 0.000 0.000
0.000 3.890 0.000
-1.248 0.000 4.726
Al Fe Co
1 1 2
direct
0.000 0.000 0.000
0.282 0.500 0.741
0.474 0.000 0.500
0.739 0.500 0.246

(4)
AlFe14Co (PBE, optimized geometry); final energy = -0.2988 hartree per atom; space-group type = Cmmm, No. 65; ΔE_f = -0.048 eV per atom; magnetic moment = 2.14 μB per atom
1.0
2.861 -4.030 0.000
2.861 4.030 0.000
0.000 0.000 8.063
Al Fe Co
1 14 1
direct
0.000 0.000 0.000
0.000 0.000 0.500
0.000 0.500 0.000
0.000 0.500 0.500
0.247 0.753 0.248
0.247 0.753 0.752
0.255 0.255 0.253
0.255 0.255 0.747
0.500 0.000 0.000
0.500 0.000 0.500
0.500 0.500 0.500
0.745 0.745 0.253
0.745 0.745 0.747
0.753 0.247 0.248
0.753 0.247 0.752
0.500 0.500 0.000

(5)
AlFeCo2 (PBE, optimized geometry); final energy = -0.2494 hartree per atom; space-group type = Pmmm, No. 47; ΔE_f = -0.182 eV per atom; magnetic moment = 1.17 μB per atom
1.0
2.843 0.000 0.000
0.000 3.954 0.000
0.000 0.000 4.114
Al Fe Co
1 1 2
direct
0.000 0.000 0.000
0.500 0.000 0.500
0.000 0.500 0.500
0.500 0.500 0.000

(6)
Al3Fe2Co (PBE, optimized geometry); final energy = -0.2316 hartree per atom; space-group type = P4/mmm, No. 123; ΔE_f = -0.426 eV per atom; magnetic moment = 0.20 μB per atom
1.0
2.866 0.000 0.000
0.000 2.866 0.000
0.000 0.000 8.588
Al Fe Co
3 2 1
direct
0.000 0.000 0.000
0.000 0.000 0.333
0.000 0.000 0.667
0.500 0.500 0.166
0.500 0.500 0.834
0.500 0.500 0.500

Which of these has the highest magnetic moment?
AlFe14Co

What did the fifth record say?
AlFeCo2 (PBE, optimized geometry); final energy = -0.2494 hartree per atom; space-group type = Pmmm, No. 47; ΔE_f = -0.182 eV per atom; magnetic moment = 1.17 μB per atom
1.0
2.843 0.000 0.000
0.000 3.954 0.000
0.000 0.000 4.114
Al Fe Co
1 1 2
direct
0.000 0.000 0.000
0.500 0.000 0.500
0.000 0.500 0.500
0.500 0.500 0.000

What is the ΔE_f in the first record?
-0.078 eV per atom